The following is a PBE+U calculation of a relaxed structure of Mn2CdOsO8, from Alexandria.

Its total DFT energy (no corrections) is -6.6592 eV/atom.

The space group is P2/m (No. 10) and the conventional cell measures 4.807, 6.337 and 4.824 Å, with angles of 90.00, 94.08 and 90.00 degrees. Symmetry generates all atoms from Mn at (0.000, 0.246, 0.000), Cd at (0.500, 0.000, 0.500), Os at (0.500, 0.500, 0.500), O at (0.179, 0.000, 0.175), O at (0.202, 0.500, 0.199) and O at (0.311, 0.296, 0.685).